1.
The following is a PBE-GGA calculation of crystalline Sr2ReRu at its relaxed geometry, from Alexandria via LeMat-Bulk.

Structure (CIF):
```
data_Sr2ReRu
_cell_length_a 3.921
_cell_length_b 5.297
_cell_length_c 10.649
_cell_angle_alpha 90.00
_cell_angle_beta 90.00
_cell_angle_gamma 90.00
_symmetry_space_group_name_H-M 'I m m 2'
_symmetry_Int_Tables_number 44
_symmetry_space_group_name_Hall 'I 2 -2'
loop_
_atom_site_label
_atom_site_type_symbol
_atom_site_fract_x
_atom_site_fract_y
_atom_site_fract_z
_atom_site_occupancy
Sr1 Sr 0.000 0.000 0.000 1
Sr2 Sr 0.000 0.500 0.219 1
Re1 Re 0.000 0.500 0.801 1
Ru1 Ru 0.000 0.000 0.421 1
```

Computed properties:
- DOS at the Fermi energy: 1.0226 states/eV per atom
- Formation energy: 0.521 eV per atom
- Total magnetic moment: 0.0000 μB per atom
- Relative energy among the computed polymorphs: 0.039 eV per atom
- Density: 6.945 g/cm3

---

2.
The following is a PBE-GGA calculation of crystalline ZrTi2IrO at its relaxed geometry, from Alexandria via LeMat-Bulk.

Structure (CIF):
```
data_ZrTi2IrO
_cell_length_a 4.075
_cell_length_b 4.075
_cell_length_c 4.449
_cell_angle_alpha 90.00
_cell_angle_beta 90.00
_cell_angle_gamma 90.00
_symmetry_space_group_name_H-M 'P 4/m m m'
_symmetry_Int_Tables_number 123
_symmetry_space_group_name_Hall '-P 4 2'
loop_
_atom_site_label
_atom_site_type_symbol
_atom_site_fract_x
_atom_site_fract_y
_atom_site_fract_z
_atom_site_occupancy
Zr1 Zr 0.000 0.000 0.000 1
Ti1 Ti 0.000 0.500 0.500 1
Ir1 Ir 0.500 0.500 0.000 1
O1 O 0.000 0.000 0.500 1
```

Computed properties:
- DOS at the Fermi energy: 0.9848 states/eV per atom
- Total magnetic moment: 0.0000 μB per atom
- Density: 8.883 g/cm3
- Energy relative to the elements, uncorrected: -653 kJ/mol of formula units

---

3.
The following is a PBE-GGA calculation of crystalline KBaGaRh2 at its relaxed geometry, from Alexandria via LeMat-Bulk.

Structure (CIF):
```
data_KBaGaRh2
_cell_length_a 5.130
_cell_length_b 5.130
_cell_length_c 5.373
_cell_angle_alpha 90.00
_cell_angle_beta 90.00
_cell_angle_gamma 90.00
_symmetry_space_group_name_H-M 'P 4/m m m'
_symmetry_Int_Tables_number 123
_symmetry_space_group_name_Hall '-P 4 2'
loop_
_atom_site_label
_atom_site_type_symbol
_atom_site_fract_x
_atom_site_fract_y
_atom_site_fract_z
_atom_site_occupancy
K1 K 0.000 0.000 0.000 1
Ba1 Ba 0.500 0.500 0.500 1
Ga1 Ga 0.000 0.000 0.500 1
Rh1 Rh 0.000 0.500 0.000 1
```

Computed properties:
- DOS at the Fermi energy: 1.0738 states/eV per atom
- Formation energy: 1.091 eV per atom
- Total magnetic moment: 0.0000 μB per atom
- Density: 5.308 g/cm3

---

4.
The following is a PBE-GGA calculation of crystalline CuHAu2 at its relaxed geometry, from Alexandria via LeMat-Bulk.

Structure (CIF):
```
data_CuHAu2
_cell_length_a 6.059
_cell_length_b 6.059
_cell_length_c 6.059
_cell_angle_alpha 90.00
_cell_angle_beta 90.00
_cell_angle_gamma 90.00
_symmetry_space_group_name_H-M 'F m -3 m'
_symmetry_Int_Tables_number 225
_symmetry_space_group_name_Hall '-F 4 2 3'
loop_
_atom_site_label
_atom_site_type_symbol
_atom_site_fract_x
_atom_site_fract_y
_atom_site_fract_z
_atom_site_occupancy
Cu1 Cu 0.000 0.000 0.000 1
H1 H 0.000 0.000 0.500 1
Au1 Au 0.250 0.250 0.250 1
```

Computed properties:
- DOS at the Fermi energy: 0.3903 states/eV per atom
- Total magnetic moment: 0.0000 μB per atom
- Relative energy among the computed polymorphs: 0.319 eV per atom
- Density: 13.690 g/cm3